An optimized crystal structure of In4Pb5, computed with PBEsol.

total magnetization: 0.00 μB/atom
energy: -63.00 eV/cell

Cell and atoms, written as CIF:
```
data_In4Pb5
_cell_length_a 9.3651
_cell_length_b 9.3651
_cell_length_c 6.6097
_cell_angle_alpha 90.00
_cell_angle_beta 90.00
_cell_angle_gamma 120.00
_symmetry_space_group_name_H-M 'P 63/m c m'
_symmetry_Int_Tables_number 193
_symmetry_space_group_name_Hall '-P 6c 2'
loop_
_atom_site_label
_atom_site_type_symbol
_atom_site_fract_x
_atom_site_fract_y
_atom_site_fract_z
In1 In 0.0000 0.0000 0.0000
In2 In 0.0000 0.3534 0.2500
Pb1 Pb 0.0000 0.3140 0.7500
Pb2 Pb 0.3333 0.6667 0.0000
```